No. 1
VASP calculation (meta-GGA SCAN) on NiAs2S6O12F12 at its PBEsol-relaxed geometry.

Cell and atoms, written as POSCAR:
```
NiAs2S6O12F12
1.0
7.820 0.000 0.071
0.000 8.724 0.000
-0.637 0.000 14.731
Ni As S O F
2 4 12 24 24
Direct
0.000 0.000 0.000 Ni
0.000 0.500 0.500 Ni
0.746 0.990 0.361 As
0.254 0.010 0.639 As
0.746 0.510 0.861 As
0.254 0.490 0.139 As
0.244 0.758 0.408 S
0.756 0.258 0.092 S
0.228 0.242 0.879 S
0.772 0.758 0.121 S
0.698 0.511 0.342 S
0.772 0.742 0.621 S
0.756 0.242 0.592 S
0.244 0.742 0.908 S
0.302 0.489 0.658 S
0.228 0.258 0.379 S
0.698 0.989 0.842 S
0.302 0.011 0.158 S
0.610 0.834 0.110 O
0.914 0.325 0.571 O
0.598 0.322 0.578 O
0.914 0.175 0.071 O
0.077 0.338 0.412 O
0.192 0.545 0.726 O
0.390 0.166 0.890 O
0.077 0.162 0.912 O
0.226 0.022 0.065 O
0.402 0.822 0.922 O
0.086 0.675 0.429 O
0.774 0.978 0.935 O
0.086 0.825 0.929 O
0.226 0.478 0.565 O
0.390 0.334 0.390 O
0.774 0.522 0.435 O
0.598 0.178 0.078 O
0.808 0.455 0.274 O
0.808 0.045 0.774 O
0.192 0.955 0.226 O
0.923 0.662 0.588 O
0.923 0.838 0.088 O
0.402 0.678 0.422 O
0.610 0.666 0.610 O
0.724 0.170 0.415 F
0.475 0.486 0.165 F
0.221 0.581 0.243 F
0.034 0.006 0.614 F
0.525 0.514 0.835 F
0.779 0.419 0.757 F
0.276 0.670 0.085 F
0.221 0.919 0.743 F
0.768 0.809 0.307 F
0.232 0.309 0.193 F
0.779 0.081 0.257 F
0.232 0.191 0.693 F
0.712 0.603 0.965 F
0.288 0.103 0.535 F
0.768 0.691 0.807 F
0.288 0.397 0.035 F
0.966 0.994 0.386 F
0.525 0.986 0.335 F
0.712 0.897 0.465 F
0.966 0.506 0.886 F
0.034 0.494 0.114 F
0.724 0.330 0.915 F
0.276 0.830 0.585 F
0.475 0.014 0.665 F
```

Results
The total DFT energy (no corrections) comes out at -0.63646 Ry per atom. Its total magnetization is 1.984 μB per formula unit. As for the density: 2.712 g cm⁻³.

=====

No. 2
VASP calculation (meta-GGA SCAN) on CoNiRh2 at its PBEsol-relaxed geometry.

Cell and atoms, written as POSCAR:
```
CoNiRh2
1.0
2.609 0.000 0.000
0.000 3.535 0.000
0.000 0.000 5.210
Ni Rh Co
1 2 1
Direct
0.500 0.500 0.500 Ni
0.000 0.000 0.751 Rh
0.000 0.000 0.249 Rh
0.500 0.500 0.000 Co
```

Results
Its total magnetization is 4.590 μB per formula unit. The formation energy comes out at 47.7 meV/atom. As for the density: 11.178 g cm⁻³. The calculation puts the energy above the most stable polymorph in this dataset at 0.16 eV per formula unit.

=====

No. 3
VASP calculation (meta-GGA SCAN) on Bi2PRuRh at its PBEsol-relaxed geometry.

Cell and atoms, written as POSCAR:
```
Bi2PRuRh
1.0
4.222 0.000 0.000
0.000 5.240 0.000
0.000 0.000 5.240
Ru Rh Bi P
1 1 2 1
Direct
0.500 0.000 0.000 Ru
0.500 0.500 0.500 Rh
0.000 0.000 0.500 Bi
0.000 0.500 0.000 Bi
0.000 0.000 0.000 P
```

Results
Its total magnetization is 1.493 μB per formula unit. The formation energy comes out at 1014.0 meV/atom. As for the density: 9.354 g cm⁻³.

=====

No. 4
VASP calculation (meta-GGA SCAN) on ZrRh2W2 at its PBEsol-relaxed geometry.

Cell and atoms, written as POSCAR:
```
ZrRh2W2
1.0
3.952 0.000 0.000
0.000 3.952 0.000
-1.976 -1.976 5.629
Rh Zr W
2 1 2
Direct
0.250 0.750 0.500 Rh
0.750 0.250 0.500 Rh
0.000 0.000 0.000 Zr
0.390 0.390 0.780 W
0.610 0.610 0.220 W
```

Results
Its total magnetization is 0.000 μB per formula unit. The formation energy comes out at 119.4 meV/atom. As for the density: 12.555 g cm⁻³.

=====

No. 5
VASP calculation (meta-GGA SCAN) on CdSb2Se2 at its PBEsol-relaxed geometry.

Cell and atoms, written as POSCAR:
```
CdSb2Se2
1.0
-0.184 2.745 -2.703
1.885 -5.553 -5.766
-7.995 -1.597 -1.077
Sb Se Cd
4 4 2
Direct
0.000 0.306 0.806 Sb
0.000 0.806 0.694 Sb
0.000 0.694 0.194 Sb
0.000 0.194 0.306 Sb
0.500 0.145 0.645 Se
0.500 0.645 0.855 Se
0.500 0.855 0.355 Se
0.500 0.355 0.145 Se
0.000 0.000 0.000 Cd
0.000 0.500 0.500 Cd
```

Results
The total DFT energy (no corrections) comes out at -2.13285 Ry per atom. Its total magnetization is 0.000 μB per formula unit. As for the density: 6.542 g cm⁻³.

=====

No. 6
VASP calculation (meta-GGA SCAN) on BiS3F at its PBEsol-relaxed geometry.

Cell and atoms, written as POSCAR:
```
BiS3F
1.0
5.256 0.000 0.000
0.000 5.256 0.000
0.000 0.000 5.256
S Bi F
3 1 1
Direct
0.000 0.500 0.000 S
0.000 0.000 0.500 S
0.500 0.000 0.000 S
0.000 0.000 0.000 Bi
0.500 0.500 0.500 F
```

Results
The total DFT energy (no corrections) comes out at -1.57188 Ry per atom. Its total magnetization is 3.647 μB per formula unit. As for the density: 3.707 g cm⁻³.

=====

No. 7
VASP calculation (meta-GGA SCAN) on Ta2CoNi at its PBEsol-relaxed geometry.

Cell and atoms, written as POSCAR:
```
Ta2CoNi
1.0
3.053 0.000 0.000
0.000 3.053 0.000
0.000 0.000 5.967
Ni Co Ta
1 1 2
Direct
0.500 0.500 0.500 Ni
0.500 0.500 0.000 Co
0.000 0.000 0.753 Ta
0.000 0.000 0.247 Ta
```

Results
Its total magnetization is 0.000 μB per formula unit. The formation energy comes out at 3.1 meV/atom. As for the density: 14.316 g cm⁻³. The calculation puts the energy above the most stable polymorph in this dataset at 0.00 eV per formula unit.

=====

No. 8
VASP calculation (meta-GGA SCAN) on GaPt2WS at its PBEsol-relaxed geometry.

Cell and atoms, written as POSCAR:
```
GaPt2WS
1.0
4.397 0.000 0.000
0.000 4.397 0.000
0.000 0.000 4.511
S Ga W Pt
1 1 1 2
Direct
0.000 0.000 0.000 S
0.000 0.000 0.500 Ga
0.500 0.500 0.500 W
0.000 0.500 0.000 Pt
0.500 0.000 0.000 Pt
```

Results
The total DFT energy (no corrections) comes out at -3.38407 Ry per atom. Its total magnetization is 2.444 μB per formula unit. As for the density: 12.870 g cm⁻³.

=====

No. 9
VASP calculation (meta-GGA SCAN) on Li4TaPb at its PBEsol-relaxed geometry.

Cell and atoms, written as POSCAR:
```
Li4TaPb
1.0
-0.092 5.062 1.190
-1.866 1.557 4.599
3.231 1.881 3.616
Li Pb Ta
4 1 1
Direct
0.373 0.373 0.373 Li
0.373 0.373 0.880 Li
0.880 0.373 0.373 Li
0.373 0.880 0.373 Li
0.750 0.750 0.750 Pb
0.000 0.000 0.000 Ta
```

Results
Its total magnetization is 2.656 μB per formula unit. The formation energy comes out at 325.5 meV/atom. As for the density: 6.942 g cm⁻³.

=====

No. 10
VASP calculation (meta-GGA SCAN) on KAgH2 at its PBEsol-relaxed geometry.

Cell and atoms, written as POSCAR:
```
KAgH2
1.0
5.533 0.014 -0.020
-2.716 4.820 0.020
2.716 1.655 4.527
H K Ag
4 2 2
Direct
0.867 0.242 0.125 H
0.133 0.008 0.625 H
0.633 0.625 0.242 H
0.367 0.125 0.008 H
0.000 0.500 0.500 K
0.500 0.750 0.750 K
0.000 0.000 0.000 Ag
0.500 0.250 0.250 Ag
```

Results
The total DFT energy (no corrections) comes out at -0.86607 Ry per atom. Its total magnetization is 0.000 μB per formula unit. As for the density: 4.087 g cm⁻³.

=====

No. 11
VASP calculation (meta-GGA SCAN) on KBe3Pd at its PBEsol-relaxed geometry.

Cell and atoms, written as POSCAR:
```
KBe3Pd
1.0
-0.726 4.407 -0.340
-3.389 -0.334 2.910
2.838 0.729 3.389
Be K Pd
3 1 1
Direct
0.000 0.500 0.000 Be
0.000 0.000 0.500 Be
0.500 0.000 0.000 Be
0.000 0.000 0.000 K
0.500 0.500 0.500 Pd
```

Results
Its total magnetization is 0.003 μB per formula unit. The formation energy comes out at 2592.8 meV/atom. As for the density: 3.187 g cm⁻³.

=====

No. 12
VASP calculation (meta-GGA SCAN) on MgCu2Te at its PBEsol-relaxed geometry.

Cell and atoms, written as POSCAR:
```
MgCu2Te
1.0
-3.466 -0.376 2.006
1.059 -3.710 1.135
3.004 3.599 1.833
Cu Mg Te
2 1 1
Direct
0.250 0.750 0.500 Cu
0.750 0.250 0.500 Cu
0.500 0.500 0.000 Mg
0.000 0.000 0.000 Te
```

Results
Its total magnetization is 0.000 μB per formula unit. As for the density: 6.897 g cm⁻³. The calculation puts the energy above the most stable polymorph in this dataset at 0.00 eV per formula unit.

=====

- What is the formula in the second record?
  CoNiRh2